Record 1
This record from Alexandria describes a relaxed structure of CsAlTl2. The functional is PBE.

Computed properties:
E_tot: -2.160 eV/atom
E above lowest polymorph: 150.1 meV per atom
energy of formation from the pure elements: 0.1719 eV/atom

abc: 10.1838 10.1838 10.1838
angles: 143.86 143.86 52.04
Positions (direct):
1 Cs 0.3750 0.6250 0.7500
2 Cs 0.6250 0.3750 0.2500
3 Al 0.1250 0.8750 0.2500
4 Al 0.8750 0.1250 0.7500
5 Tl 0.0000 0.0000 0.0000
6 Tl 0.0000 0.0000 0.5000
7 Tl 0.0000 0.5000 0.0000
8 Tl 0.5000 0.0000 0.5000

---

Record 2
This record from Alexandria describes a relaxed structure of KCaHfGe2. The functional is PBE.

Computed properties:
E_tot: -3.364 eV/atom
energy of formation from the pure elements: 1.0933 eV/atom

abc: 5.5252 5.5252 5.3448
angles: 90.00 90.00 90.00
Positions (direct):
1 K 0.0000 0.0000 0.0000
2 Ca 0.5000 0.5000 0.5000
3 Hf 0.5000 0.5000 0.0000
4 Ge 0.0000 0.5000 0.5000
5 Ge 0.5000 0.0000 0.5000

---

Record 3
This record from Alexandria describes a relaxed structure of AgHg2TeO4. The functional is PBE.

Computed properties:
E_tot: -3.662 eV/atom
E_form (uncorrected): -0.358 eV per atom

abc: 7.2199 7.2199 6.7290
angles: 109.97 109.97 105.36
Positions (direct):
1 Ag 0.0000 0.5000 0.0000
2 Ag 0.5000 0.0000 0.5000
3 Hg 0.0000 0.0000 0.0000
4 Hg 0.0000 0.0000 0.5000
5 Hg 0.0000 0.5000 0.5000
6 Hg 0.5000 0.0000 0.0000
7 Te 0.5000 0.5000 0.0000
8 Te 0.5000 0.5000 0.5000
9 O 0.1640 0.2789 0.8296
10 O 0.2515 0.6138 0.4336
11 O 0.2789 0.1640 0.3296
12 O 0.3862 0.7485 0.0664
13 O 0.6138 0.2515 0.9336
14 O 0.7211 0.8360 0.6704
15 O 0.7485 0.3862 0.5664
16 O 0.8360 0.7211 0.1704

---

Record 4
This record from Alexandria describes a relaxed structure of TcRuCl2. The functional is PBE.

Computed properties:
E_tot: -5.899 eV/atom
E above lowest polymorph: 0.0 meV per atom
E_form (uncorrected): -0.065 eV per atom

abc: 3.6208 3.6208 8.9299
angles: 104.61 104.61 49.07
Positions (direct):
1 Tc 0.0000 0.0000 0.0000
2 Ru 0.1966 0.1966 0.8314
3 Cl 0.4379 0.4379 0.6315
4 Cl 0.5852 0.5852 0.2168

---

Record 5
This record from Alexandria describes a relaxed structure of Al2FeTcSe. The functional is PBE.

Computed properties:
E_tot: -4.745 eV/atom
E_form (uncorrected): 1.214 eV per atom

abc: 4.7747 4.7747 4.5064
angles: 90.00 90.00 90.00
Positions (direct):
1 Al 0.0000 0.5000 0.0000
2 Al 0.5000 0.0000 0.0000
3 Fe 0.0000 0.0000 0.5000
4 Tc 0.5000 0.5000 0.5000
5 Se 0.5000 0.5000 0.0000

---

Record 6
This record from Alexandria describes a relaxed structure of HgW2Cl2. The functional is PBE.

Computed properties:
E_tot: -4.381 eV/atom
E_form (uncorrected): 1.599 eV per atom

abc: 4.4333 4.4333 5.7753
angles: 90.00 90.00 90.00
Positions (direct):
1 Hg 0.0000 0.0000 0.0000
2 W 0.0000 0.5000 0.5000
3 W 0.5000 0.0000 0.5000
4 Cl 0.5000 0.5000 0.0000
5 Cl 0.5000 0.5000 0.5000

---

Record 7
This record from Alexandria describes a relaxed structure of NdPaNi3. The functional is PBE.

Computed properties:
E_tot: -6.666 eV/atom
E above lowest polymorph: 0.0 meV per atom
energy of formation from the pure elements: -0.3449 eV/atom

abc: 12.5956 12.5956 4.0628
angles: 90.00 90.00 163.09
Positions (direct):
1 Nd 0.0707 0.9293 0.7500
2 Nd 0.9293 0.0707 0.2500
3 Pa 0.2001 0.7999 0.2500
4 Pa 0.7999 0.2001 0.7500
5 Ni 0.3133 0.6867 0.2500
6 Ni 0.3765 0.6235 0.7500
7 Ni 0.4738 0.5262 0.7500
8 Ni 0.5262 0.4738 0.2500
9 Ni 0.6235 0.3765 0.2500
10 Ni 0.6867 0.3133 0.7500

---

Record 8
This record from Alexandria describes a relaxed structure of VCo4Rh2. The functional is PBE.

Computed properties:
E_tot: -7.481 eV/atom
energy of formation from the pure elements: -0.0178 eV/atom

abc: 4.6017 6.3036 6.4091
angles: 87.83 80.86 70.80
Positions (direct):
1 V 0.0000 0.0000 0.0000
2 V 0.2637 0.4301 0.5281
3 Co 0.1131 0.3508 0.8949
4 Co 0.2688 0.7928 0.2982
5 Co 0.3232 0.0008 0.6483
6 Co 0.5005 0.0080 0.0112
7 Co 0.5538 0.3659 0.1659
8 Co 0.6658 0.5904 0.4822
9 Co 0.6871 0.9943 0.3551
10 Co 0.8844 0.6498 0.1369
11 Rh 0.0728 0.2241 0.3068
12 Rh 0.4445 0.6431 0.8886
13 Rh 0.7225 0.2254 0.7007
14 Rh 0.9222 0.7787 0.6956